[1]
KHfI2: single point on PBEsol structure, meta-GGA SCAN.

Unit cell a=5.322 b=5.322 c=5.322 alpha=60.00 beta=60.00 gamma=60.00
Element x y z (fractional)
K 0.000 0.000 0.000
Hf 0.500 0.500 0.500
I 0.250 0.250 0.250
I 0.750 0.750 0.750

Total DFT energy (no corrections), Ry/atom: -2.656
Energy relative to the elements, uncorrected, eV per atom: -0.015
Magnetic moment, μB/atom: 0.263


[2]
KHf3I: single point on PBEsol structure, meta-GGA SCAN.

Unit cell a=4.994 b=4.994 c=4.994 alpha=90.00 beta=90.00 gamma=90.00
Element x y z (fractional)
K 0.000 0.000 0.000
Hf 0.000 0.000 0.500
Hf 0.000 0.500 0.000
Hf 0.500 0.000 0.000
I 0.500 0.500 0.500

Total DFT energy (no corrections), Ry/atom: -3.254
Energy relative to the elements, uncorrected, eV per atom: 2.343
Magnetic moment, μB/atom: 0.000